This record from the Alexandria database describes a geometry-optimized Pr2YTl4 structure. The functional is PBE.

Results
The volume is 38.56 Å³/atom. As for the symmetry: No. 139.

The structure in CIF format:
```
data_Pr2YTl4
_chemical_formula_sum 'Pr2 Y1 Tl4'
_cell_length_a 8.990
_cell_length_b 8.990
_cell_length_c 8.990
_cell_angle_alpha 142.29
_cell_angle_beta 142.29
_cell_angle_gamma 54.39
_space_group_name_H-M_alt 'P 1'
_space_group_IT_number 1
_space_group_name_Hall 'P 1'
loop_
_atom_site_label
_atom_site_fract_x
_atom_site_fract_y
_atom_site_fract_z
_atom_site_occupancy
Pr1 0.104 0.104 0.000 1
Pr2 0.896 0.896 0.000 1
Y1 0.500 0.500 0.000 1
Tl1 0.000 0.500 0.500 1
Tl2 0.307 0.307 0.000 1
Tl3 0.500 0.000 0.500 1
Tl4 0.693 0.693 0.000 1
```



This record from the Alexandria database describes a geometry-optimized Pr6YTl2 structure. The functional is PBE.

Results
The volume is 32.37 Å³/atom. As for the symmetry: No. 15.

The structure in CIF format:
```
data_Pr6YTl2
_chemical_formula_sum 'Pr12 Y2 Tl4'
_cell_length_a 10.101
_cell_length_b 10.101
_cell_length_c 6.067
_cell_angle_alpha 97.29
_cell_angle_beta 97.29
_cell_angle_gamma 72.38
_space_group_name_H-M_alt 'P 1'
_space_group_IT_number 1
_space_group_name_Hall 'P 1'
loop_
_atom_site_label
_atom_site_fract_x
_atom_site_fract_y
_atom_site_fract_z
_atom_site_occupancy
Pr1 0.054 0.829 0.964 1
Pr2 0.139 0.385 0.167 1
Pr3 0.171 0.946 0.536 1
Pr4 0.274 0.497 0.699 1
Pr5 0.385 0.139 0.667 1
Pr6 0.497 0.274 0.199 1
Pr7 0.503 0.726 0.801 1
Pr8 0.615 0.861 0.333 1
Pr9 0.726 0.503 0.301 1
Pr10 0.829 0.054 0.464 1
Pr11 0.861 0.615 0.833 1
Pr12 0.946 0.171 0.036 1
Y1 0.355 0.645 0.250 1
Y2 0.645 0.355 0.750 1
Tl1 0.017 0.294 0.600 1
Tl2 0.294 0.017 0.100 1
Tl3 0.706 0.983 0.900 1
Tl4 0.983 0.706 0.400 1
```



This record from the Alexandria database describes a geometry-optimized PrY4Tl5 structure. The functional is PBE.

Results
The volume is 28.01 Å³/atom. As for the symmetry: No. 123.

The structure in CIF format:
```
data_PrY4Tl5
_chemical_formula_sum 'Pr1 Y4 Tl5'
_cell_length_a 3.788
_cell_length_b 3.788
_cell_length_c 19.519
_cell_angle_alpha 90.00
_cell_angle_beta 90.00
_cell_angle_gamma 90.00
_space_group_name_H-M_alt 'P 1'
_space_group_IT_number 1
_space_group_name_Hall 'P 1'
loop_
_atom_site_label
_atom_site_fract_x
_atom_site_fract_y
_atom_site_fract_z
_atom_site_occupancy
Pr1 0.000 0.000 0.000 1
Y1 0.000 0.000 0.206 1
Y2 0.000 0.000 0.402 1
Y3 0.000 0.000 0.598 1
Y4 0.000 0.000 0.794 1
Tl1 0.500 0.500 0.108 1
Tl2 0.500 0.500 0.304 1
Tl3 0.500 0.500 0.500 1
Tl4 0.500 0.500 0.696 1
Tl5 0.500 0.500 0.892 1
```



Number 1: E_form 0.106 eV/atom. Number 2: E_form -0.124 eV/atom. Number 3: E_form -0.382 eV/atom.